# 1
This record from the Alexandria database describes a relaxed SrAuCCl2 crystal. The functional is PBE.

Computed properties:
- magnetization (μB/atom) = 0.0000
- E_form (uncorrected) (kJ per mole of atoms) = -21.7

Cell and atoms, written as CIF:
```
data_SrAuCCl2
_chemical_formula_sum 'Sr1 Au1 C1 Cl2'
_cell_length_a 5.360
_cell_length_b 5.360
_cell_length_c 3.949
_cell_angle_alpha 90.00
_cell_angle_beta 90.00
_cell_angle_gamma 90.00
_symmetry_space_group_name_H-M 'P 4/m m m'
_symmetry_Int_Tables_number 123
_symmetry_space_group_name_Hall '-P 4 2'
loop_
_atom_site_label
_atom_site_type_symbol
_atom_site_fract_x
_atom_site_fract_y
_atom_site_fract_z
_atom_site_occupancy
Sr1 Sr 0.000 0.000 0.000 1
Au1 Au 0.500 0.500 0.000 1
C1 C 0.500 0.500 0.500 1
Cl1 Cl 0.000 0.500 0.500 1
```

---

# 2
This record from the Alexandria database describes a relaxed NdScSi2Ru crystal. The functional is PBE.

Computed properties:
- magnetization (μB/atom) = 0.0000
- E_form (uncorrected) (kJ per mole of atoms) = -75.6

Cell and atoms, written as CIF:
```
data_NdScSi2Ru
_chemical_formula_sum 'Nd2 Sc2 Si4 Ru2'
_cell_length_a 4.076
_cell_length_b 4.076
_cell_length_c 11.397
_cell_angle_alpha 90.00
_cell_angle_beta 90.00
_cell_angle_gamma 90.00
_symmetry_space_group_name_H-M 'I -4 m 2'
_symmetry_Int_Tables_number 119
_symmetry_space_group_name_Hall 'I -4 -2'
loop_
_atom_site_label
_atom_site_type_symbol
_atom_site_fract_x
_atom_site_fract_y
_atom_site_fract_z
_atom_site_occupancy
Nd1 Nd 0.000 0.000 0.000 1
Sc1 Sc 0.000 0.500 0.250 1
Si1 Si 0.000 0.000 0.394 1
Ru1 Ru 0.000 0.500 0.750 1
```

---

Please write out number 1 again, unchanged.
This record from the Alexandria database describes a relaxed SrAuCCl2 crystal. The functional is PBE.

Computed properties:
- magnetization (μB/atom) = 0.0000
- E_form (uncorrected) (kJ per mole of atoms) = -21.7

Cell and atoms, written as CIF:
```
data_SrAuCCl2
_chemical_formula_sum 'Sr1 Au1 C1 Cl2'
_cell_length_a 5.360
_cell_length_b 5.360
_cell_length_c 3.949
_cell_angle_alpha 90.00
_cell_angle_beta 90.00
_cell_angle_gamma 90.00
_symmetry_space_group_name_H-M 'P 4/m m m'
_symmetry_Int_Tables_number 123
_symmetry_space_group_name_Hall '-P 4 2'
loop_
_atom_site_label
_atom_site_type_symbol
_atom_site_fract_x
_atom_site_fract_y
_atom_site_fract_z
_atom_site_occupancy
Sr1 Sr 0.000 0.000 0.000 1
Au1 Au 0.500 0.500 0.000 1
C1 C 0.500 0.500 0.500 1
Cl1 Cl 0.000 0.500 0.500 1
```

---

E_form (uncorrected) of number 1 (SrAuCCl2)? -21.7 kJ per mole of atoms